No. 1
Below is a relaxed structure of TbDy3YSc, with properties calculated at the PBE-GGA level.

Output
E_form ... 0.0372 eV per atom
SG ... P2_1/m (11)
Magnetic moment ... 0.00 μB per formula unit

Cell: 4.970 7.825 10.489 Å, 116.43 90.00 90.00°
Fractional coordinates of all 12 atoms:
Sc1 0.750 0.879 0.378
Sc2 0.250 0.121 0.622
Y1 0.750 0.876 0.704
Y2 0.250 0.124 0.296
Dy1 0.250 0.633 0.458
Dy2 0.250 0.619 0.789
Dy3 0.250 0.125 0.956
Dy4 0.750 0.367 0.542
Dy5 0.750 0.875 0.044
Dy6 0.750 0.381 0.211
Tb1 0.250 0.628 0.128
Tb2 0.750 0.372 0.872


No. 2
Below is a relaxed structure of Tb2Dy6Y3Sc, with properties calculated at the PBE-GGA level.

Output
E_form ... 0.0283 eV per atom
SG ... C2/m (12)
Magnetic moment ... 0.00 μB per formula unit

Cell: 6.111 6.111 11.700 Å, 94.98 94.98 119.96°
Fractional coordinates of all 12 atoms:
Sc1 0.000 0.000 0.000
Y1 0.166 0.834 0.500
Y2 0.834 0.166 0.500
Y3 0.500 0.500 0.500
Dy1 0.918 0.587 0.753
Dy2 0.751 0.751 0.247
Dy3 0.587 0.918 0.753
Dy4 0.082 0.413 0.247
Dy5 0.249 0.249 0.753
Dy6 0.413 0.082 0.247
Tb1 0.333 0.667 0.000
Tb2 0.667 0.333 0.000


no.,final energy (Ha/atom),calculated volume (Å³/cell)
1,-0.1899,365.26
2,-0.1907,372.81